# 1
# Sm8RuRh2 GGA-PBE optimized geometry
# E above lowest polymorph = 0 meV/atom
# Total DFT energy (no corrections) = -5.9506 eV per atom
data_Sm8RuRh2
_cell_length_a 17.607
_cell_length_b 5.052
_cell_length_c 6.841
_cell_angle_alpha 90.00
_cell_angle_beta 99.85
_cell_angle_gamma 90.00
_symmetry_space_group_name_H-M 'C 1 2/m 1'
_symmetry_Int_Tables_number 12
loop_
_symmetry_equiv_pos_as_xyz
'x,y,z'
'-x,-y,-z'
'-x,y,-z'
'x,-y,z'
'x+1/2,y+1/2,z'
'-x+1/2,-y+1/2,-z'
'-x+1/2,y+1/2,-z'
'x+1/2,-y+1/2,z'
loop_
_atom_site_label
_atom_site_fract_x
_atom_site_fract_y
_atom_site_fract_z
Sm1 0.038 0.000 0.283
Sm2 0.087 0.500 0.929
Sm3 0.165 0.500 0.462
Sm4 0.201 0.000 0.835
Ru1 0.000 0.500 0.500
Rh1 0.208 0.000 0.239

---

# 2
# Ca5H3I12 GGA-PBE optimized geometry
# Total DFT energy (no corrections) = -2.6276 eV per atom
data_Ca5H3I12
_cell_length_a 19.370
_cell_length_b 19.370
_cell_length_c 19.370
_cell_angle_alpha 90.00
_cell_angle_beta 90.00
_cell_angle_gamma 90.00
_symmetry_space_group_name_H-M 'I a -3 d'
_symmetry_Int_Tables_number 230
_symmetry_space_group_name_Hall '-I 4bd 2c 3'
loop_
_atom_site_label
_atom_site_fract_x
_atom_site_fract_y
_atom_site_fract_z
Ca1 0.000 0.000 0.000
Ca2 0.000 0.250 0.375
H1 0.000 0.250 0.125
I1 0.037 0.070 0.642

---

# 3
# NiSbH2 GGA-PBE optimized geometry
# E above lowest polymorph = 0 meV/atom
# Total DFT energy (no corrections) = -3.8730 eV per atom
data_NiSbH2
_cell_length_a 4.635
_cell_length_b 4.635
_cell_length_c 8.641
_cell_angle_alpha 90.00
_cell_angle_beta 90.00
_cell_angle_gamma 90.00
_symmetry_space_group_name_H-M 'I 41/a m d'
_symmetry_Int_Tables_number 141
loop_
_symmetry_equiv_pos_as_xyz
'x,y,z'
'-x,-y,-z'
'-y+1/4,x+3/4,z+1/4'
'y+1/4,-x+3/4,-z+1/4'
'-x+1/2,-y,z+1/2'
'x+1/2,y,-z+1/2'
'y+1/4,-x+1/4,z+3/4'
'-y+1/4,x+1/4,-z+3/4'
'x,-y,-z'
'-x,y,z'
'-y+1/4,-x+1/4,-z+3/4'
'y+1/4,x+1/4,z+3/4'
'-x+1/2,y,-z+1/2'
'x+1/2,-y,z+1/2'
'y+1/4,x+3/4,-z+1/4'
'-y+1/4,-x+3/4,z+1/4'
'x+1/2,y+1/2,z+1/2'
'-x+1/2,-y+1/2,-z+1/2'
'-y+3/4,x+1/4,z+3/4'
'y+3/4,-x+1/4,-z+3/4'
'-x,-y+1/2,z'
'x,y+1/2,-z'
'y+3/4,-x+3/4,z+1/4'
'-y+3/4,x+3/4,-z+1/4'
'x+1/2,-y+1/2,-z+1/2'
'-x+1/2,y+1/2,z+1/2'
'-y+3/4,-x+3/4,-z+1/4'
'y+3/4,x+3/4,z+1/4'
'-x,y+1/2,-z'
'x,-y+1/2,z'
'y+3/4,x+1/4,-z+3/4'
'-y+3/4,-x+1/4,z+3/4'
loop_
_atom_site_label
_atom_site_fract_x
_atom_site_fract_y
_atom_site_fract_z
Ni1 0.000 0.250 0.375
Sb1 0.000 0.250 0.875
H1 0.000 0.000 0.500

---

# 4
# Ca3HfRu GGA-PBE optimized geometry
# E above lowest polymorph = 1015 meV/atom
# Total DFT energy (no corrections) = -3.3035 eV per atom
data_Ca3HfRu
_cell_length_a 5.670
_cell_length_b 5.670
_cell_length_c 5.670
_cell_angle_alpha 90.00
_cell_angle_beta 90.00
_cell_angle_gamma 90.00
_symmetry_space_group_name_H-M 'P m -3 m'
_symmetry_Int_Tables_number 221
_symmetry_space_group_name_Hall '-P 4 2 3'
loop_
_atom_site_label
_atom_site_fract_x
_atom_site_fract_y
_atom_site_fract_z
Ca1 0.000 0.000 0.500
Hf1 0.000 0.000 0.000
Ru1 0.500 0.500 0.500

---

# 5
# SrTl2Sb GGA-PBE optimized geometry
# Raw formation energy = -387.9 meV per atom
# E above lowest polymorph = 54 meV/atom
# Total DFT energy (no corrections) = -3.0221 eV per atom
data_SrTl2Sb
_cell_length_a 12.597
_cell_length_b 4.245
_cell_length_c 5.291
_cell_angle_alpha 90.00
_cell_angle_beta 114.41
_cell_angle_gamma 90.00
_symmetry_space_group_name_H-M 'C 1 2/m 1'
_symmetry_Int_Tables_number 12
loop_
_symmetry_equiv_pos_as_xyz
'x,y,z'
'-x,-y,-z'
'-x,y,-z'
'x,-y,z'
'x+1/2,y+1/2,z'
'-x+1/2,-y+1/2,-z'
'-x+1/2,y+1/2,-z'
'x+1/2,-y+1/2,z'
loop_
_atom_site_label
_atom_site_fract_x
_atom_site_fract_y
_atom_site_fract_z
Sr1 0.000 0.000 0.000
Tl1 0.225 0.000 0.725
Sb1 0.000 0.500 0.500

---

# 6
# TmLuPu2 GGA-PBE optimized geometry
# E above lowest polymorph = 3 meV/atom
# Total DFT energy (no corrections) = -9.2617 eV per atom
data_TmLuPu2
_cell_length_a 4.754
_cell_length_b 4.754
_cell_length_c 4.995
_cell_angle_alpha 90.00
_cell_angle_beta 90.00
_cell_angle_gamma 90.00
_symmetry_space_group_name_H-M 'P 4/m m m'
_symmetry_Int_Tables_number 123
_symmetry_space_group_name_Hall '-P 4 2'
loop_
_atom_site_label
_atom_site_fract_x
_atom_site_fract_y
_atom_site_fract_z
Tm1 0.000 0.000 0.000
Lu1 0.500 0.500 0.000
Pu1 0.000 0.500 0.500

---

- Among the records above, which one has the highest total DFT energy (no corrections)?
  Ca5H3I12